First-principles (PBE with a Hubbard U) data for crystalline ScCoPO at its relaxed geometry, as listed in the Open Quantum Materials Database.

Unit cell a=4.2258 b=4.2258 c=8.2946 alpha=90.00 beta=90.00 gamma=90.00
Positions (direct):
Sc 0.2500 0.7500 0.0000
Sc 0.7500 0.2500 0.0000
Co 0.2500 0.2500 0.4640
Co 0.7500 0.7500 0.5360
P 0.2500 0.2500 0.1673
P 0.7500 0.7500 0.8327
O 0.2500 0.7500 0.5000
O 0.7500 0.2500 0.5000

## Properties
polymorph energy (0 for the lowest one): 1057 meV per atom